1.
A geometry-optimized Dy4GeAs2Se structure, computed with PBE-GGA.

a = 7.1421 Å, b = 4.1021 Å, c = 7.1516 Å
α = 90.00°, β = 109.26°, γ = 90.00°
Last column: nearest neighbours and their distance in Å.
Fractional coordinates of all 8 atoms:
Dy1 0.2447 0.0000 0.2413  3 As 2.87-2.93, 1 Ge 2.89, 2 Se 2.95
Dy2 0.2481 0.5000 0.7525  3 As 2.89-2.91, 2 Ge 2.91, 1 Se 2.94
Dy3 0.7519 0.5000 0.2475  3 As 2.89-2.91, 2 Ge 2.91, 1 Se 2.94
Dy4 0.7553 0.0000 0.7587  3 As 2.87-2.93, 1 Ge 2.89, 2 Se 2.95
Ge1 0.5000 0.0000 0.0000  6 Dy 2.89-2.91
As1 0.0000 0.0000 0.5000  6 Dy 2.91-2.93
As2 0.0000 0.5000 0.0000  6 Dy 2.87-2.89
Se1 0.5000 0.5000 0.5000  6 Dy 2.94-2.95

Properties
As for the uncorrected formation energy: -1.466 eV per atom. The space group is P2/m.

***

2.
A geometry-optimized Dy4GeAsSe2 structure, computed with PBE-GGA.

a = 7.1318 Å, b = 4.1187 Å, c = 7.1395 Å
α = 90.00°, β = 109.40°, γ = 90.00°
Last column: nearest neighbours and their distance in Å.
Fractional coordinates of all 8 atoms:
Dy1 0.2432 0.0000 0.2373  2 Ge 2.86, 1 As 2.88, 3 Se 2.95-2.97
Dy2 0.2514 0.5000 0.7629  1 Ge 2.85, 2 As 2.87, 3 Se 2.96-2.98
Dy3 0.7486 0.5000 0.2371  1 Ge 2.85, 2 As 2.87, 3 Se 2.96-2.98
Dy4 0.7568 0.0000 0.7627  2 Ge 2.86, 1 As 2.88, 3 Se 2.95-2.97
Ge1 0.0000 0.5000 0.0000  6 Dy 2.85-2.86
As1 0.5000 0.0000 0.0000  6 Dy 2.87-2.88
Se1 0.0000 0.0000 0.5000  6 Dy 2.95-2.96
Se2 0.5000 0.5000 0.5000  6 Dy 2.97-2.98

Properties
As for the uncorrected formation energy: -1.571 eV per atom. The space group is P2/m.

***

3.
A geometry-optimized Dy6GeAs3Se2 structure, computed with PBE-GGA.

a = 9.1938 Å, b = 9.1938 Å, c = 8.2486 Å
α = 102.85°, β = 102.85°, γ = 25.85°
Last column: nearest neighbours and their distance in Å.
Fractional coordinates of all 12 atoms:
Dy1 0.0015 0.0015 0.2537  2 Ge 2.89, 3 As 2.92-2.93, 1 Se 2.96
Dy2 0.3352 0.3352 0.4244  1 Ge 2.88, 3 As 2.88-2.90, 2 Se 2.97
Dy3 0.3366 0.3366 0.9096  3 As 2.85, 3 Se 2.94-2.95
Dy4 0.6634 0.6634 0.0904  3 As 2.85, 3 Se 2.94-2.95
Dy5 0.6648 0.6648 0.5756  1 Ge 2.88, 3 As 2.88-2.90, 2 Se 2.97
Dy6 0.9985 0.9985 0.7463  2 Ge 2.89, 3 As 2.92-2.93, 1 Se 2.96
Ge1 0.5000 0.5000 0.5000  6 Dy 2.88-2.89
As1 0.1689 0.1689 0.3328  6 Dy 2.85-2.92
As2 0.5000 0.5000 0.0000  6 Dy 2.85-2.93
As3 0.8311 0.8311 0.6672  6 Dy 2.85-2.92
Se1 0.1681 0.1681 0.8369  6 Dy 2.94-2.97
Se2 0.8319 0.8319 0.1631  6 Dy 2.94-2.97

Properties
As for the uncorrected formation energy: -1.561 eV per atom. The space group is C2/m.

***

4.
A geometry-optimized Dy8Ge3AsSe4 structure, computed with PBE-GGA.

a = 8.2659 Å, b = 8.2659 Å, c = 8.2659 Å
α = 59.87°, β = 59.87°, γ = 59.87°
Last column: nearest neighbours and their distance in Å.
Fractional coordinates of all 16 atoms:
Dy1 0.2429 0.7467 0.7467  2 Ge 2.86, 1 As 2.88, 3 Se 2.96-2.98
Dy2 0.2460 0.2460 0.2460  3 Ge 2.87, 3 Se 2.97
Dy3 0.2533 0.2533 0.7571  2 Ge 2.86, 1 As 2.88, 3 Se 2.96-2.98
Dy4 0.2533 0.7571 0.2533  2 Ge 2.86, 1 As 2.88, 3 Se 2.96-2.98
Dy5 0.7467 0.2429 0.7467  2 Ge 2.86, 1 As 2.88, 3 Se 2.96-2.98
Dy6 0.7467 0.7467 0.2429  2 Ge 2.86, 1 As 2.88, 3 Se 2.96-2.98
Dy7 0.7540 0.7540 0.7540  3 Ge 2.87, 3 Se 2.97
Dy8 0.7571 0.2533 0.2533  2 Ge 2.86, 1 As 2.88, 3 Se 2.96-2.98
Ge1 0.0000 0.0000 0.5000  6 Dy 2.86-2.87
Ge2 0.0000 0.5000 0.0000  6 Dy 2.86-2.87
Ge3 0.5000 0.0000 0.0000  6 Dy 2.86-2.87
As1 0.5000 0.5000 0.5000  6 Dy 2.88
Se1 0.0000 0.0000 0.0000  6 Dy 2.96
Se2 0.0000 0.5000 0.5000  6 Dy 2.97-2.98
Se3 0.5000 0.0000 0.5000  6 Dy 2.97-2.98
Se4 0.5000 0.5000 0.0000  6 Dy 2.97-2.98

Properties
As for the uncorrected formation energy: -1.484 eV per atom. The space group is R-3m.